# 1
K2TcCl: relaxed, GGA-PBE.

Values from the calculation:
Mass density, g/cm3: 2.22
Energy relative to the elements, uncorrected, eV/f.u.: 1.58
Energy, eV/atom: -3.207
Total moment, μB/cell: 8.06
DOS at the Fermi energy, states/eV/cell: 12.198
Relative energy among the computed polymorphs, meV/atom: 221

CIF file:
```
data_K2TcCl
_space_group_name_H-M_alt 'I -4 2 d'
_space_group_IT_number 122
_space_group_name_Hall 'I -4 2bw'
_cell_length_a 11.8707
_cell_length_b 11.8707
_cell_length_c 4.4946
_cell_angle_alpha 90.00
_cell_angle_beta 90.00
_cell_angle_gamma 90.00
loop_
_atom_site_label
_atom_site_type_symbol
_atom_site_fract_x
_atom_site_fract_y
_atom_site_fract_z
K1 K 0.0675 0.7500 0.1250
Tc1 Tc 0.0000 0.0000 0.5000
Cl1 Cl 0.0000 0.0000 0.0000
```



# 2
KTcCl5: relaxed, GGA-PBE.

Values from the calculation:
Mass density, g/cm3: 2.29
Energy relative to the elements, uncorrected, eV/f.u.: -7.21
Energy, eV/atom: -3.986
Total moment, μB/cell: 12.00

CIF file:
```
data_KTcCl5
_space_group_name_H-M_alt 'C 1 2/c 1'
_space_group_IT_number 15
_cell_length_a 14.0164
_cell_length_b 7.4258
_cell_length_c 9.3298
_cell_angle_alpha 90.00
_cell_angle_beta 110.33
_cell_angle_gamma 90.00
loop_
_space_group_symop_operation_xyz
'x,y,z'
'-x,-y,-z'
'-x,y,-z+1/2'
'x,-y,z+1/2'
'x+1/2,y+1/2,z'
'-x+1/2,-y+1/2,-z'
'-x+1/2,y+1/2,-z+1/2'
'x+1/2,-y+1/2,z+1/2'
loop_
_atom_site_label
_atom_site_type_symbol
_atom_site_fract_x
_atom_site_fract_y
_atom_site_fract_z
K1 K 0.0000 0.0243 0.2500
Tc1 Tc 0.0000 0.5000 0.0000
Cl1 Cl 0.0000 0.3988 0.7500
Cl2 Cl 0.1246 0.2794 0.5242
Cl3 Cl 0.1272 0.2838 0.1075
```



# 3
KTcCl3: relaxed, GGA-PBE.

Values from the calculation:
Mass density, g/cm3: 3.49
Energy relative to the elements, uncorrected, eV/f.u.: -4.07
Energy, eV/atom: -4.214
Total moment, μB/cell: 0.00
DOS at the Fermi energy, states/eV/cell: 3.146
Relative energy among the computed polymorphs, meV/atom: 332

CIF file:
```
data_KTcCl3
_space_group_name_H-M_alt 'C 1 2/m 1'
_space_group_IT_number 12
_cell_length_a 16.2205
_cell_length_b 3.4699
_cell_length_c 8.5800
_cell_angle_alpha 90.00
_cell_angle_beta 106.12
_cell_angle_gamma 90.00
loop_
_space_group_symop_operation_xyz
'x,y,z'
'-x,-y,-z'
'-x,y,-z'
'x,-y,z'
'x+1/2,y+1/2,z'
'-x+1/2,-y+1/2,-z'
'-x+1/2,y+1/2,-z'
'x+1/2,-y+1/2,z'
loop_
_atom_site_label
_atom_site_type_symbol
_atom_site_fract_x
_atom_site_fract_y
_atom_site_fract_z
K1 K 0.0907 0.0000 0.3633
Tc1 Tc 0.2093 0.5000 0.9170
Cl1 Cl 0.0790 0.5000 0.6652
Cl2 Cl 0.1040 0.0000 0.9900
Cl3 Cl 0.2458 0.5000 0.2956
```